Entry from Alexandria: crystalline YGe2PbCl at its relaxed geometry (GGA-PBE).

POSCAR file:
```
YGe2PbCl
1.0
5.4200 0.0000 0.0000
0.0000 5.4200 0.0000
0.0000 0.0000 6.3024
Y Ge Pb Cl
1 2 1 1
Direct
0.0000 0.0000 0.0000 Y
0.0000 0.5000 0.0000 Ge
0.5000 0.0000 0.0000 Ge
0.0000 0.0000 0.5000 Pb
0.5000 0.5000 0.5000 Cl
```

## Properties
**Crystal system**: tetragonal
**Mass density**: 4.277 g/cm³
**Magnetic moment**: 0.0 μB/f.u.
**Calculated volume**: 185.1 Å³/cell
**Uncorrected formation energy**: 244 kJ/mol of formula units
**Space-group type**: P4/mmm (123)
**Electronic total energy**: -3.75 eV per atom